Record 1
Entry from Alexandria: a geometry-optimized CeNd6Dy structure (PBE-GGA).

Results
The formation energy is 0.385 eV/f.u.

Unit cell a=7.3052 b=10.2832 c=14.6062 alpha=90.00 beta=90.00 gamma=90.00
With the nearest neighbours (Å) after each atom.
Space group Fmmm (No. 69)
Unique sites:
Ce  0.0000  0.0000  0.0000 x4  10 Nd 3.62, 2 Dy 3.65
Nd  0.0000  0.0000  0.2478 x8  1 Ce 3.62, 10 Nd 3.65-3.68, 1 Dy 3.68
Nd  0.2500  0.2500  0.1217 x16  8 Nd 3.56-3.75, 2 Dy 3.62, 2 Ce 3.62
Dy  0.0000  0.0000  0.5000 x4  10 Nd 3.62-3.68, 2 Ce 3.65

---

Record 2
Entry from Alexandria: a geometry-optimized CeNd10Dy6 structure (PBE-GGA).

Results
The formation energy is 2.551 eV/f.u.

Unit cell a=9.8534 b=9.8534 c=6.9395 alpha=90.00 beta=90.00 gamma=120.00
With the nearest neighbours (Å) after each atom.
Space group P-31m (No. 162)
Unique sites:
Ce  0.0000  0.0000  0.0000 x1  6 Nd 3.47
Nd  0.0000  0.2737  0.6845 x6  5 Dy 3.39-3.65, 1 Ce 3.47, 2 Nd 3.72
Nd  0.3333  0.6667  0.0000 x2  6 Dy 3.39, 2 Nd 3.47
Nd  0.3333  0.6667  0.5000 x2  8 Nd 3.47-3.83, 6 Dy 3.78
Dy  0.0000  0.3712  0.1918 x6  9 Nd 3.39-3.78, 1 Dy 3.68

---

Record 3
Entry from Alexandria: a geometry-optimized CeNdDy14 structure (PBE-GGA).

Results
The formation energy is 0.486 eV/f.u.

Unit cell a=7.1036 b=7.1036 c=10.0438 alpha=90.00 beta=90.00 gamma=90.00
With the nearest neighbours (Å) after each atom.
Space group P4/mmm (No. 123)
Unique sites:
Ce  0.0000  0.0000  0.0000 x1  12 Dy 3.55
Nd  0.5000  0.5000  0.0000 x1  12 Dy 3.55-3.57
Dy  0.0000  0.0000  0.5000 x1  12 Dy 3.53-3.55
Dy  0.0000  0.5000  0.0000 x2  2 Nd 3.55, 2 Ce 3.55, 8 Dy 3.56
Dy  0.0000  0.5000  0.5000 x2  12 Dy 3.54-3.55
Dy  0.2483  0.2483  0.2511 x8  10 Dy 3.53-3.58, 1 Ce 3.55, 1 Nd 3.57
Dy  0.5000  0.5000  0.5000 x1  12 Dy 3.55-3.56

---

Record 4
Entry from Alexandria: a geometry-optimized CeNd3Dy structure (PBE-GGA).

Results
The formation energy is 0.806 eV/f.u.

Unit cell a=8.4365 b=9.6129 c=9.1660 alpha=90.00 beta=114.76 gamma=90.00
With the nearest neighbours (Å) after each atom.
Space group C2/m (No. 12)
Unique sites:
Ce  0.1420  0.0000  0.4587 x4  1 Ce 2.80
Nd  0.0761  0.3186  0.7001 x8  3 Nd 3.34-3.59, 2 Dy 3.39-3.48, 2 Ce 3.56-3.70
Nd  0.2086  0.5000  0.1194 x4  3 Nd 3.27-3.59, 4 Dy 3.49-3.57, 1 Ce 3.53
Dy  0.0000  0.1698  0.0000 x4  1 Dy 3.26, 8 Nd 3.39-3.57

---

Record 5
Entry from Alexandria: a geometry-optimized Ce2NdDy structure (PBE-GGA).

Results
The polymorph energy (0 for the lowest one) comes out at 0.006 eV/atom. The formation energy is 0.438 eV/f.u.

Unit cell a=3.5100 b=3.5100 c=35.0130 alpha=90.00 beta=90.00 gamma=120.00
With the nearest neighbours (Å) after each atom.
Space group R3m (No. 160, hexagonal axes)
Unique sites:
Ce  0.0000  0.0000  0.0000 x3  6 Ce 3.51, 3 Dy 3.54, 3 Nd 3.63
Ce  0.0000  0.0000  0.1693 x3  3 Dy 3.48, 6 Ce 3.51, 3 Nd 3.55
Nd  0.0000  0.0000  0.7528 x3  6 Nd 3.51, 6 Ce 3.55-3.63
Dy  0.0000  0.0000  0.5836 x3  6 Ce 3.48-3.54, 6 Dy 3.51

---

Record 6
Entry from Alexandria: a geometry-optimized Ce2NdDyP4 structure (PBE-GGA).

Results
The formation energy is -12.311 eV/f.u.

Unit cell a=7.0723 b=4.0882 c=7.0825 alpha=90.00 beta=109.49 gamma=90.00
With the nearest neighbours (Å) after each atom.
Space group P2/m (No. 10)
Unique sites:
Ce  0.0000  0.0000  0.0000 x1  6 P 2.86
Ce  0.0000  0.5000  0.5000 x1  6 P 2.90
Nd  0.5000  0.0000  0.5000 x1  6 P 2.92
Dy  0.5000  0.5000  0.0000 x1  6 P 2.88
P  0.2457  0.5000  0.2436 x2  3 Ce 2.86-2.90, 1 Dy 2.88, 2 Nd 2.92
P  0.2495  0.0000  0.7547 x2  3 Ce 2.86-2.90, 2 Dy 2.88, 1 Nd 2.92

---

Record 7
Entry from Alexandria: a geometry-optimized CeNd2Dy3P6 structure (PBE-GGA).

Results
The formation energy is -18.883 eV/f.u.

Unit cell a=7.0562 b=12.2175 c=7.0450 alpha=90.00 beta=109.50 gamma=90.00
With the nearest neighbours (Å) after each atom.
Space group C2/m (No. 12)
Unique sites:
Ce  0.0000  0.0000  0.0000 x2  6 P 2.87
Nd  0.0000  0.3337  0.0000 x4  6 P 2.92
Dy  0.0000  0.1677  0.5000 x4  6 P 2.84-2.88
Dy  0.0000  0.5000  0.5000 x2  6 P 2.84-2.89
P  0.2420  0.0000  0.7439 x4  3 Dy 2.85-2.89, 1 Ce 2.87, 2 Nd 2.92
P  0.2494  0.1639  0.2570 x8  3 Dy 2.84-2.88, 1 Ce 2.87, 2 Nd 2.92

---

Record 8
Entry from Alexandria: a geometry-optimized Ce3NdDy2P6 structure (PBE-GGA).

Results
The formation energy is -18.539 eV/f.u.

Unit cell a=7.0585 b=12.2277 c=7.0481 alpha=90.00 beta=109.52 gamma=90.00
With the nearest neighbours (Å) after each atom.
Space group C2/m (No. 12)
Unique sites:
Ce  0.0000  0.0000  0.0000 x2  6 P 2.85-2.89
Ce  0.0000  0.3344  0.0000 x4  6 P 2.85-2.89
Nd  0.0000  0.5000  0.5000 x2  6 P 2.91-2.92
Dy  0.0000  0.1670  0.5000 x4  6 P 2.86-2.87
P  0.2442  0.0000  0.7498 x4  3 Ce 2.85-2.89, 2 Dy 2.87, 1 Nd 2.91
P  0.2468  0.1694  0.2491 x8  3 Ce 2.85-2.89, 2 Dy 2.86-2.87, 1 Nd 2.92

---

Record 9
Entry from Alexandria: a geometry-optimized CeNdDy2P4 structure (PBE-GGA).

Results
The formation energy is -12.540 eV/f.u.

Unit cell a=7.0303 b=4.0679 c=7.0459 alpha=90.00 beta=109.42 gamma=90.00
With the nearest neighbours (Å) after each atom.
Space group P2/m (No. 10)
Unique sites:
Ce  0.0000  0.0000  0.0000 x1  6 P 2.87-2.89
Nd  0.0000  0.5000  0.5000 x1  6 P 2.91
Dy  0.5000  0.0000  0.5000 x1  6 P 2.87
Dy  0.5000  0.5000  0.0000 x1  6 P 2.83-2.84
P  0.2550  0.5000  0.2483 x2  3 Dy 2.83-2.87, 2 Ce 2.89, 1 Nd 2.91
P  0.2566  0.0000  0.7566 x2  3 Dy 2.84-2.87, 1 Ce 2.87, 2 Nd 2.91

---

Record 10
Entry from Alexandria: a geometry-optimized CeNd3Dy2P6 structure (PBE-GGA).

Results
The formation energy is -18.743 eV/f.u.

Unit cell a=7.0921 b=12.2822 c=7.1050 alpha=90.00 beta=109.43 gamma=90.00
With the nearest neighbours (Å) after each atom.
Space group C2/m (No. 12)
Unique sites:
Ce  0.0000  0.0000  0.0000 x2  6 P 2.85-2.86
Nd  0.0000  0.1668  0.5000 x4  6 P 2.93-2.94
Nd  0.0000  0.5000  0.5000 x2  6 P 2.93-2.94
Dy  0.0000  0.3334  0.0000 x4  6 P 2.86
P  0.2464  0.1663  0.2403 x8  1 Ce 2.86, 2 Dy 2.86, 3 Nd 2.93-2.94
P  0.2474  0.5000  0.2395 x4  1 Ce 2.85, 2 Dy 2.86, 3 Nd 2.94

---

Record 11
Entry from Alexandria: a geometry-optimized Ce3Nd2DyP6 structure (PBE-GGA).

Results
The formation energy is -18.410 eV/f.u.

Unit cell a=7.1027 b=12.3040 c=7.0977 alpha=90.00 beta=109.50 gamma=90.00
With the nearest neighbours (Å) after each atom.
Space group C2/m (No. 12)
Unique sites:
Ce  0.0000  0.0000  0.0000 x2  6 P 2.87-2.91
Ce  0.0000  0.3324  0.0000 x4  6 P 2.87-2.91
Nd  0.0000  0.1663  0.5000 x4  6 P 2.93
Dy  0.0000  0.5000  0.5000 x2  6 P 2.88-2.89
P  0.2426  0.5000  0.2451 x4  3 Ce 2.87-2.91, 1 Dy 2.89, 2 Nd 2.93
P  0.2484  0.3361  0.7539 x8  3 Ce 2.87-2.91, 1 Dy 2.88, 2 Nd 2.93

---

Record 12
Entry from Alexandria: a geometry-optimized CeNd2DyP4 structure (PBE-GGA).

Results
The formation energy is -12.412 eV/f.u.

Unit cell a=7.0970 b=4.1053 c=7.1137 alpha=90.00 beta=109.39 gamma=90.00
With the nearest neighbours (Å) after each atom.
Space group P2/m (No. 10)
Unique sites:
Ce  0.0000  0.0000  0.0000 x1  6 P 2.86-2.87
Nd  0.0000  0.5000  0.5000 x1  6 P 2.94
Nd  0.5000  0.0000  0.5000 x1  6 P 2.94
Dy  0.5000  0.5000  0.0000 x1  6 P 2.86-2.87
P  0.2477  0.5000  0.2410 x2  1 Dy 2.86, 2 Ce 2.87, 3 Nd 2.94
P  0.2531  0.0000  0.7600 x2  1 Ce 2.86, 2 Dy 2.87, 3 Nd 2.94

---

- Number 12 is which compound?
  CeNd2DyP4

---

- What is the formula in the seventh record?
  CeNd2Dy3P6